# TlIn2Cl

A geometry-optimized TlIn2Cl structure (GGA-PBE, Alexandria).

a = 7.671 Å, b = 7.671 Å, c = 7.671 Å
α = 90.00°, β = 90.00°, γ = 90.00°
Space group F-43m (No. 216)
Symmetry-distinct sites (fractional):
Tl 0.000 0.000 0.000
In 0.000 0.000 0.500
In 0.250 0.250 0.250
Cl 0.250 0.250 0.750

Results
* raw formation energy: -186 meV/atom

# TlInCl

A geometry-optimized TlInCl structure (GGA-PBE, Alexandria).

a = 3.930 Å, b = 3.930 Å, c = 11.105 Å
α = 90.00°, β = 90.00°, γ = 90.00°
Space group I4mm (No. 107)
Symmetry-distinct sites (fractional):
Tl 0.000 0.000 0.000
In 0.000 0.000 0.324
Cl 0.000 0.000 0.681

Results
* raw formation energy: -390 meV/atom

# TlInCl2

A geometry-optimized TlInCl2 structure (GGA-PBE, Alexandria).

a = 3.807 Å, b = 5.235 Å, c = 12.182 Å
α = 90.00°, β = 90.00°, γ = 90.00°
Space group Imm2 (No. 44)
Symmetry-distinct sites (fractional):
Tl 0.000 0.000 0.000
In 0.000 0.500 0.226
Cl 0.000 0.000 0.527
Cl 0.000 0.500 0.716

Results
* raw formation energy: -815 meV/atom

# TlInCl4

A geometry-optimized TlInCl4 structure (GGA-PBE, Alexandria).

a = 9.673 Å, b = 14.283 Å, c = 6.457 Å
α = 90.00°, β = 118.78°, γ = 90.00°
Space group C2/c (No. 15)
Symmetry-distinct sites (fractional):
Tl 0.000 0.165 0.250
In 0.000 0.422 0.750
Cl 0.160 0.299 0.691
Cl 0.176 0.449 0.197

Results
* raw formation energy: -1076 meV/atom

# TlIn2Cl

A geometry-optimized TlIn2Cl structure (GGA-PBE, Alexandria).

a = 3.728 Å, b = 5.864 Å, c = 10.271 Å
α = 90.00°, β = 90.00°, γ = 90.00°
Space group Cmmm (No. 65)
Symmetry-distinct sites (fractional):
Tl 0.000 0.000 0.000
In 0.000 0.500 0.277
Cl 0.000 0.000 0.500

Results
* raw formation energy: -263 meV/atom

# TlInCl2

A geometry-optimized TlInCl2 structure (GGA-PBE, Alexandria).

a = 4.5290 Å, b = 4.5290 Å, c = 27.9828 Å
α = 90.00°, β = 90.00°, γ = 120.00°
Space group R-3m (No. 166, hexagonal axes)
Symmetry-distinct sites (fractional):
Tl 0.0000 0.0000 0.0000
In 0.0000 0.0000 0.5000
Cl 0.0000 0.0000 0.1024

Results
* raw formation energy: -694 meV/atom

# TlIn2Cl

A geometry-optimized TlIn2Cl structure (GGA-PBE, Alexandria).

a = 3.504 Å, b = 5.145 Å, c = 6.327 Å
α = 90.00°, β = 90.00°, γ = 90.00°
Space group Pmmm (No. 47)
Symmetry-distinct sites (fractional):
Tl 0.000 0.000 0.000
In 0.500 0.500 0.259
Cl 0.000 0.000 0.500

Results
* raw formation energy: -257 meV/atom

# TlIn2Cl

A geometry-optimized TlIn2Cl structure (GGA-PBE, Alexandria).

a = 3.780 Å, b = 5.062 Å, c = 6.169 Å
α = 90.00°, β = 91.42°, γ = 90.00°
Space group Pm (No. 6)
Symmetry-distinct sites (fractional):
Tl 0.000 0.000 0.000
In 0.002 0.000 0.500
In 0.502 0.500 0.503
Cl 0.500 0.500 0.997

Results
* raw formation energy: -353 meV/atom

no.,total moment (μB/f.u.)
1,0.00
2,0.00
3,0.00
4,0.00
5,0.00
6,0.00
7,0.00
8,0.00